--- i ---
A geometry-optimized SmBi2Pd7 structure, computed with GGA-PBE.

DOS(E_F)   3.16 states/eV/cell

Cell and atoms, written as extended XYZ:
```
10
Lattice="-2.856 0.902 2.814 -2.950 -0.639 -2.789 2.395 -11.619 3.154" Properties=species:S:1:pos:R:3 pbc="T T T"
Pd -1.892 -9.754 1.206
Pd -1.682 -5.292 2.990
Pd -1.519 -1.602 1.973
Sm 0.000 0.000 0.000
Pd -1.565 -2.372 -0.829
Pd -1.729 -6.063 0.188
Bi -0.336 -7.608 2.097
Pd -1.845 -8.983 4.007
Pd -2.903 0.132 0.012
Bi -3.074 -3.747 1.081
```

--- ii ---
A geometry-optimized SmBi2Pd7 structure, computed with GGA-PBE.

DOS(E_F)   4.74 states/eV/cell

Cell and atoms, written as extended XYZ:
```
10
Lattice="4.361 0.000 0.000 0.000 8.000 -0.567 0.000 -4.038 6.929" Properties=species:S:1:pos:R:3 pbc="T T T"
Sm 0.000 0.000 0.000
Pd 0.000 5.602 0.926
Pd 2.180 1.958 0.383
Pd 0.000 -1.641 5.436
Pd 2.180 1.981 3.181
Bi 2.180 -0.343 4.628
Pd 2.180 2.004 5.979
Pd 2.180 -0.520 1.926
Bi 2.180 4.304 1.734
Pd 2.180 4.481 4.436
```

It is i that is the most stable of them.

--- i ---
A geometry-optimized SnBiPd3 structure, computed with GGA-PBE.

DOS(E_F)   5.78 states/eV/cell

Cell and atoms, written as extended XYZ:
```
20
Lattice="7.002 0.000 0.000 0.000 7.893 0.000 0.000 0.000 7.087" Properties=species:S:1:pos:R:3 pbc="T T T"
Pd 4.296 1.168 2.071
Bi 5.568 3.139 3.544
Pd 2.706 6.725 5.016
Pd 0.000 7.893 5.116
Pd 3.501 3.947 1.573
Bi 4.935 7.085 0.000
Pd 6.207 5.115 1.473
Bi 2.067 0.808 0.000
Sn 1.918 1.228 3.544
Pd 7.002 0.000 1.971
Sn 1.582 5.174 7.087
Pd 3.501 3.947 5.514
Sn 5.083 6.665 3.544
Pd 6.207 5.115 5.614
Pd 2.706 6.725 2.071
Pd 4.296 1.168 5.016
Sn 5.419 2.719 0.000
Pd 0.795 2.778 1.473
Bi 1.434 4.754 3.543
Pd 0.795 2.778 5.614
```

--- ii ---
A geometry-optimized SnBiPd3 structure, computed with GGA-PBE.

DOS(E_F)   3.88 states/eV/cell

Cell and atoms, written as extended XYZ:
```
10
Lattice="-3.167 0.473 3.208 5.351 -3.086 2.534 2.495 7.034 1.426" Properties=species:S:1:pos:R:3 pbc="T T T"
Pd 2.269 3.354 1.746
Sn 3.547 5.513 2.689
Pd 0.774 1.062 0.608
Sn 1.131 -1.093 4.480
Pd 2.410 1.067 5.423
Pd 2.670 0.310 2.590
Bi 4.377 2.309 3.981
Pd 3.904 3.358 6.561
Pd 2.009 4.111 4.579
Bi 0.301 2.112 3.188
```

--- iii ---
A geometry-optimized SnBiPd3 structure, computed with GGA-PBE.

DOS(E_F)   2.14 states/eV/cell

Cell and atoms, written as extended XYZ:
```
5
Lattice="-1.206 4.929 0.070 -3.183 -0.724 -3.885 -3.764 -0.967 3.264" Properties=species:S:1:pos:R:3 pbc="T T T"
Pd -1.882 -0.484 1.632
Pd -0.603 2.464 0.035
Bi 0.000 0.000 0.000
Pd -1.592 -0.362 -1.943
Sn -4.076 1.619 -0.276
```

--- iv ---
A geometry-optimized SnBiPd3 structure, computed with GGA-PBE.

DOS(E_F)   1.55 states/eV/cell

Cell and atoms, written as extended XYZ:
```
5
Lattice="4.945 0.000 0.000 0.000 4.945 0.000 0.000 0.000 4.945" Properties=species:S:1:pos:R:3 pbc="T T T"
Pd 0.000 0.000 2.473
Pd 0.000 2.473 0.000
Sn 0.000 0.000 0.000
Bi 2.473 2.473 2.473
Pd 2.473 0.000 0.000
```

It is i that is the most stable of them.

--- i ---
A geometry-optimized SnBiPd6 structure, computed with GGA-PBE.

DOS(E_F)   2.72 states/eV/cell

Cell and atoms, written as extended XYZ:
```
8
Lattice="4.098 0.000 0.000 0.000 4.098 0.000 0.000 0.000 8.142" Properties=species:S:1:pos:R:3 pbc="T T T"
Pd 0.000 2.049 6.033
Pd 2.049 0.000 6.033
Pd 2.049 2.049 0.000
Bi 0.000 0.000 0.000
Pd 2.049 2.049 4.071
Pd 0.000 2.049 2.108
Sn 0.000 0.000 4.071
Pd 2.049 0.000 2.108
```

--- ii ---
A geometry-optimized SnBiPd6 structure, computed with GGA-PBE.

DOS(E_F)   4.33 states/eV/cell

Cell and atoms, written as extended XYZ:
```
8
Lattice="4.723 0.641 0.009 0.994 4.661 0.009 1.697 1.574 7.177" Properties=species:S:1:pos:R:3 pbc="T T T"
Sn 0.000 0.000 0.000
Bi 3.707 3.438 3.598
Pd 6.053 3.793 5.059
Pd 3.177 1.125 2.137
Pd 4.237 5.751 5.059
Pd 1.361 3.084 2.137
Pd 3.618 3.356 6.757
Pd 3.795 3.520 0.439
```

It is i that is the most stable of them.